A geometry-optimized CeTeC structure. Source: Alexandria, functional PBE.

Cell lengths 3.452, 3.078, 12.989 Å; angles 90.00, 97.64, 90.00 degrees
Site moments in Bohr magnetons follow the coordinates.
Fractional coordinates of all 6 atoms:
C (0.486, 0.750, 0.973)  -0.01
C (0.514, 0.250, 0.027)  -0.01
Te (0.828, 0.750, 0.655)  -0.01
Te (0.172, 0.250, 0.345)  -0.01
Ce (0.939, 0.250, 0.878)  0.34
Ce (0.061, 0.750, 0.122)  0.34

Computed properties:
total energy	-6.291	eV per atom

---

A geometry-optimized Th2AlSiNi6 structure. Source: Alexandria, functional PBE.

Cell lengths 6.538, 6.023, 6.318 Å; angles 60.24, 60.53, 97.47 degrees
Fractional coordinates of all 10 atoms:
Th (0.638, 0.236, 0.582)
Th (0.362, 0.764, 0.418)
Al (0.500, 0.500, 0.000)
Si (0.000, 0.000, 0.000)
Ni (0.077, 0.190, 0.532)
Ni (0.895, 0.671, 0.943)
Ni (0.190, 0.704, 0.097)
Ni (0.810, 0.296, 0.903)
Ni (0.105, 0.329, 0.057)
Ni (0.923, 0.810, 0.468)

Computed properties:
total energy	-6.325	eV per atom

---

A geometry-optimized Tm7InNi2 structure. Source: Alexandria, functional PBE.

Cell lengths 4.878, 8.015, 8.015 Å; angles 113.68, 90.00, 90.00 degrees
Fractional coordinates of all 10 atoms:
Tm (0.000, 0.709, 0.291)
Tm (0.000, 0.291, 0.709)
Tm (0.500, 0.054, 0.315)
Tm (0.500, 0.946, 0.685)
Tm (0.500, 0.315, 0.054)
Tm (0.500, 0.685, 0.946)
Tm (0.500, 0.500, 0.500)
In (0.000, 0.000, 0.000)
Ni (0.500, 0.704, 0.296)
Ni (0.500, 0.296, 0.704)

Computed properties:
formation energy	-79	meV/atom

---

A geometry-optimized Ba3Hg8Au3 structure. Source: Alexandria, functional PBE.

Cell lengths 5.155, 9.499, 9.397 Å; angles 64.42, 74.08, 74.26 degrees
Fractional coordinates of all 14 atoms:
Ba (0.292, 0.699, 0.717)
Ba (0.708, 0.301, 0.283)
Ba (0.000, 0.000, 0.000)
Hg (0.135, 0.162, 0.567)
Hg (0.865, 0.838, 0.433)
Hg (0.859, 0.430, 0.852)
Hg (0.141, 0.570, 0.148)
Hg (0.500, 0.679, 0.321)
Hg (0.500, 0.321, 0.679)
Hg (0.338, 0.021, 0.303)
Hg (0.662, 0.979, 0.697)
Au (0.000, 0.500, 0.500)
Au (0.654, 0.703, 0.988)
Au (0.346, 0.297, 0.012)

Computed properties:
energy relative to the lowest polymorph listed for this composition	0	meV/atom
formation energy	-416	meV/atom

---

A geometry-optimized La3PmSn3 structure. Source: Alexandria, functional PBE.

Cell lengths 8.147, 8.147, 8.324 Å; angles 91.47, 91.47, 115.27 degrees
Fractional coordinates of all 14 atoms:
La (0.628, 0.628, 0.376)
La (0.165, 0.835, 0.500)
La (0.835, 0.165, 0.500)
La (0.223, 0.777, 0.000)
La (0.777, 0.223, 0.000)
La (0.372, 0.372, 0.624)
Pm (0.730, 0.730, 0.925)
Pm (0.270, 0.270, 0.075)
Sn (0.952, 0.952, 0.224)
Sn (0.841, 0.501, 0.703)
Sn (0.501, 0.841, 0.703)
Sn (0.159, 0.499, 0.297)
Sn (0.499, 0.159, 0.297)
Sn (0.048, 0.048, 0.776)

Computed properties:
formation energy	-496	meV/atom

---

A geometry-optimized Pb6Au7 structure. Source: Alexandria, functional PBE.

Cell lengths 11.192, 11.192, 11.192 Å; angles 29.90, 29.90, 29.90 degrees
Fractional coordinates of all 13 atoms:
Pb (0.949, 0.949, 0.949)
Pb (0.051, 0.051, 0.051)
Pb (0.845, 0.845, 0.845)
Pb (0.155, 0.155, 0.155)
Pb (0.669, 0.669, 0.669)
Pb (0.331, 0.331, 0.331)
Au (0.908, 0.408, 0.408)
Au (0.408, 0.408, 0.908)
Au (0.408, 0.908, 0.408)
Au (0.092, 0.592, 0.592)
Au (0.592, 0.092, 0.592)
Au (0.592, 0.592, 0.092)
Au (0.500, 0.500, 0.500)

Computed properties:
formation energy	-51	meV/atom

---

A geometry-optimized Cs3PuAg2Cl9 structure. Source: Alexandria, functional PBE.

Cell lengths 7.652, 7.652, 9.448 Å; angles 90.00, 90.00, 120.00 degrees
Site moments in Bohr magnetons follow the coordinates.
Fractional coordinates of all 15 atoms:
Cs (0.333, 0.667, 0.704)  0.00
Cs (0.000, 0.000, 0.000)  0.00
Cs (0.667, 0.333, 0.296)  0.00
Pu (0.000, 0.000, 0.500)  4.57
Ag (0.333, 0.667, 0.150)  -0.07
Ag (0.667, 0.333, 0.850)  -0.07
Cl (0.837, 0.163, 0.660)  -0.05
Cl (0.837, 0.675, 0.660)  -0.05
Cl (0.325, 0.163, 0.660)  -0.05
Cl (0.675, 0.837, 0.340)  -0.05
Cl (0.163, 0.325, 0.340)  -0.05
Cl (0.163, 0.837, 0.340)  -0.05
Cl (0.500, 0.000, 0.000)  -0.02
Cl (0.000, 0.500, 0.000)  -0.02
Cl (0.500, 0.500, 0.000)  -0.02

Computed properties:
total energy	-4.135	eV per atom

---

A geometry-optimized Al4Cd2Tc structure. Source: Alexandria, functional PBE.

Cell lengths 4.748, 4.748, 7.744 Å; angles 72.15, 72.15, 90.00 degrees
Fractional coordinates of all 7 atoms:
Al (0.826, 0.826, 0.349)
Al (0.174, 0.174, 0.651)
Al (0.000, 0.500, 0.000)
Al (0.500, 0.000, 0.000)
Tc (0.000, 0.000, 0.000)
Cd (0.637, 0.637, 0.725)
Cd (0.363, 0.363, 0.275)

Computed properties:
formation energy	284	meV/atom

---

A geometry-optimized Mo3Pt2Rh2 structure. Source: Alexandria, functional PBE.

Cell lengths 4.813, 4.772, 4.852 Å; angles 80.01, 80.39, 98.88 degrees
Fractional coordinates of all 7 atoms:
Mo (0.000, 0.000, 0.000)
Mo (0.713, 0.417, 0.158)
Mo (0.287, 0.583, 0.842)
Pt (0.571, 0.152, 0.720)
Pt (0.429, 0.848, 0.280)
Rh (0.860, 0.715, 0.575)
Rh (0.140, 0.285, 0.425)

Computed properties:
formation energy	-223	meV/atom

---

A geometry-optimized GaPd2RuN structure. Source: Alexandria, functional PBE.

Cell lengths 4.768, 4.725, 4.768 Å; angles 90.00, 90.00, 90.00 degrees
Site moments in Bohr magnetons follow the coordinates.
Fractional coordinates of all 5 atoms:
Ru (0.000, 0.000, 0.000)  0.30
Ga (0.000, 0.500, 0.000)  -0.02
Pd (0.000, 0.000, 0.500)  0.07
Pd (0.500, 0.000, 0.000)  0.05
N (0.500, 0.500, 0.500)  1.55

Computed properties:
total energy	-4.333	eV per atom

---

A geometry-optimized Li3Tl4Pd4 structure. Source: Alexandria, functional PBE.

Cell lengths 4.834, 3.076, 14.816 Å; angles 95.96, 99.39, 90.00 degrees
Fractional coordinates of all 11 atoms:
Li (0.355, 0.855, 0.710)
Li (0.645, 0.145, 0.290)
Li (0.000, 0.000, 0.000)
Tl (0.815, 0.315, 0.629)
Tl (0.448, 0.448, 0.895)
Tl (0.552, 0.552, 0.105)
Tl (0.185, 0.685, 0.371)
Pd (0.268, 0.268, 0.537)
Pd (0.092, 0.592, 0.185)
Pd (0.908, 0.408, 0.815)
Pd (0.732, 0.732, 0.463)

Computed properties:
formation energy	-211	meV/atom

---

A geometry-optimized HfIrF2 structure. Source: Alexandria, functional PBE.

Cell lengths 3.842, 3.842, 8.198 Å; angles 76.45, 76.45, 90.00 degrees
Fractional coordinates of all 8 atoms:
Ir (0.000, 0.000, 0.000)
Ir (0.750, 0.250, 0.500)
Hf (0.500, 0.500, 0.000)
Hf (0.250, 0.750, 0.500)
F (0.567, 0.125, 0.250)
F (0.183, 0.625, 0.250)
F (0.375, 0.433, 0.750)
F (0.875, 0.817, 0.750)

Computed properties:
energy relative to the lowest polymorph listed for this composition	52	meV/atom

---

Number 1: volume 22.80 Å³/atom, N(E_F) 6.4 states/eV/cell. Number 2: volume 16.33 Å³/atom, N(E_F) 6.8 states/eV/cell. Number 3: volume 28.70 Å³/atom, N(E_F) 9.2 states/eV/cell. Number 4: volume 28.06 Å³/atom, N(E_F) 7.5 states/eV/cell. Number 5: volume 35.64 Å³/atom, N(E_F) 11.1 states/eV/cell. Number 6: volume 23.73 Å³/atom, N(E_F) 5.6 states/eV/cell. Number 7: volume 31.94 Å³/atom, N(E_F) 9.9 states/eV/cell. Number 8: volume 22.47 Å³/atom, N(E_F) 2.2 states/eV/cell. Number 9: volume 15.18 Å³/atom, N(E_F) 6.3 states/eV/cell. Number 10: volume 21.48 Å³/atom, N(E_F) 6.2 states/eV/cell. Number 11: volume 19.65 Å³/atom, N(E_F) 4.6 states/eV/cell. Number 12: volume 14.27 Å³/atom, N(E_F) 4.7 states/eV/cell.